# Be2AsIr

Crystalline Be2AsIr at its relaxed geometry (GGA-PBE, Alexandria).

It has space group R-3m (No. 166, hexagonal axes), with a = 2.8705 Å, b = 2.8705 Å, c = 21.5961 Å, α = 90.00°, β = 90.00° and γ = 120.00°. The inequivalent atoms are Be at (0.0000, 0.0000, 0.2433), As at (0.0000, 0.0000, 0.0000) and Ir at (0.0000, 0.0000, 0.5000).

The value obtained for the spin magnetization is 0.00 μB/cell. The formation energy is 17 meV/atom.